[1]
Mg5AlIn: relaxed, PBE.

The structure belongs to space group P4/mmm (No. 123); the cell edges are 4.654, 4.654 and 7.653 Å and the angles 90.00°, 90.00° and 90.00°. The inequivalent atoms are Mg at (0.000, 0.000, 0.000), Mg at (0.000, 0.500, 0.286), Al at (0.500, 0.500, 0.500) and In at (0.500, 0.500, 0.000).

The total DFT energy (no corrections) is -2.03 eV per atom. As for the distance to the lowest polymorph of the same formula: 0.0056 eV per atom. The formation energy comes out at 0.035 eV/atom.

[2]
GeWIN2: relaxed, PBE.

The structure belongs to space group P4/mmm (No. 123); the cell edges are 3.837, 3.837 and 6.852 Å and the angles 90.00°, 90.00° and 90.00°. The inequivalent atoms are Ge at (0.000, 0.000, 0.000), W at (0.500, 0.500, 0.500), I at (0.000, 0.000, 0.500) and N at (0.000, 0.500, 0.000).

The total DFT energy (no corrections) is -5.07 eV per atom. The calculation puts the energy relative to the elements, uncorrected at 201.21 kJ/mol of atoms. As for the distance to the lowest polymorph of the same formula: 1.3032 eV per atom.

[3]
MgGaOF2: relaxed, PBE.

The structure belongs to space group P4/mmm (No. 123); the cell edges are 4.193, 4.193 and 3.684 Å and the angles 90.00°, 90.00° and 90.00°. The inequivalent atoms are Mg at (0.000, 0.000, 0.000), Ga at (0.500, 0.500, 0.500), O at (0.500, 0.500, 0.000) and F at (0.000, 0.500, 0.500).

The total DFT energy (no corrections) is -4.46 eV per atom. The calculation puts the energy relative to the elements, uncorrected at -173.35 kJ/mol of atoms. As for the distance to the lowest polymorph of the same formula: 0.2932 eV per atom.